A relaxed structure of BeAlN2O. Source: the Alexandria database, functional PBE.

a = 3.0949 Å, b = 3.0949 Å, c = 4.6954 Å
α = 90.00°, β = 90.00°, γ = 90.00°
Closest atoms and distances in Å follow each position.
Space group P4/mmm (No. 123)
Inequivalent atoms, fractional coordinates:
Be: 0.0000 0.0000 0.0000 [1 per cell]  4 N 1.55
Al: 0.5000 0.5000 0.5000 [1 per cell]  4 O 2.19
N: 0.0000 0.5000 0.0000 [2 per cell]  2 Be 1.55
O: 0.0000 0.0000 0.5000 [1 per cell]  4 Al 2.19, 2 Be 2.35

Output
**N(E_F)**: 0.9 states/eV/cell
**Calculated total energy**: -0.2028 Ha/atom
**Calculated volume**: 45.0 Å³/cell
**Crystal system**: tetragonal
**M_tot**: 0.00 μB per formula unit
**Uncorrected formation energy**: 0.296 eV/atom